# 1
ErSi2O4 | PBE-GGA | relaxed

Its symmetry is Fd-3m, No. 227.

Structure (CIF):
```
data_ErSi2O4
_symmetry_space_group_name_H-M 'P 1'
_symmetry_Int_Tables_number 1
_cell_length_a 6.320
_cell_length_b 6.320
_cell_length_c 6.320
_cell_angle_alpha 119.99
_cell_angle_beta 90.01
_cell_angle_gamma 119.99
loop_
_symmetry_equiv_pos_as_xyz
'x,y,z'
loop_
_atom_site_label
_atom_site_type_symbol
_atom_site_fract_x
_atom_site_fract_y
_atom_site_fract_z
O1 O 0.583 0.722 0.861
O2 O 0.611 0.222 0.833
O3 O 0.611 0.222 0.389
Si1 Si 0.375 0.750 0.125
O4 O 0.139 0.278 0.861
Si2 Si 0.875 0.250 0.625
Si3 Si 0.375 0.250 0.625
Si4 Si 0.375 0.750 0.625
O5 O 0.139 0.722 0.861
O6 O 0.611 0.778 0.389
Er1 Er 0.750 0.500 0.250
O7 O 0.167 0.778 0.389
O8 O 0.139 0.278 0.417
Er2 Er 0.000 0.000 0.000
```

---

# 2
ZnCoCuW | PBE-GGA | relaxed

Its symmetry is F-43m, No. 216. The formation energy comes out at 0.18 eV/atom.

Structure (CIF):
```
data_ZnCoCuW
_symmetry_space_group_name_H-M 'P 1'
_symmetry_Int_Tables_number 1
_cell_length_a 4.172
_cell_length_b 4.172
_cell_length_c 4.172
_cell_angle_alpha 60.00
_cell_angle_beta 60.00
_cell_angle_gamma 60.00
loop_
_symmetry_equiv_pos_as_xyz
'x,y,z'
loop_
_atom_site_label
_atom_site_type_symbol
_atom_site_fract_x
_atom_site_fract_y
_atom_site_fract_z
Cu1 Cu 0.750 0.750 0.750
Co1 Co 0.250 0.250 0.250
W1 W 0.500 0.500 0.500
Zn1 Zn 0.000 0.000 0.000
```

---

Number 1: uncorrected energy -92.922 eV/cell, total magnetic moment 0.003 μB per formula unit. Number 2: uncorrected energy -24.336 eV/cell, total magnetic moment 0.003 μB per formula unit.